Entry 1:
A plane-wave DFT calculation with PBE was carried out for crystalline Gd2CdGa at its relaxed geometry.

a b c (Å): 3.6621 3.6621 7.5416
angles (deg): 90.00 90.00 90.00
With the nearest neighbours (Å) after each atom.
Space group P4/mmm (No. 123)
Asymmetric unit:
1 Gd 0.0000 0.0000 0.2355 (multiplicity 2)  4 Ga 3.14, 4 Cd 3.27
2 Cd 0.5000 0.5000 0.5000 (multiplicity 1)  8 Gd 3.27
3 Ga 0.5000 0.5000 0.0000 (multiplicity 1)  8 Gd 3.14

volume	25.285	Å³ per atom
DOS at the Fermi energy	3.6	states/eV/f.u.
calculated total energy	-8.497	eV per atom

=====

Entry 2:
A plane-wave DFT calculation with PBE was carried out for crystalline GdCd2Ga at its relaxed geometry.

a b c (Å): 4.3740 4.3740 4.8375
angles (deg): 90.00 90.00 90.00
With the nearest neighbours (Å) after each atom.
Space group P4/mmm (No. 123)
Asymmetric unit:
1 Gd 0.0000 0.0000 0.0000 (multiplicity 1)  4 Ga 3.09, 8 Cd 3.26
2 Cd 0.0000 0.5000 0.5000 (multiplicity 2)  4 Cd 3.09, 4 Gd 3.26, 4 Ga 3.26
3 Ga 0.5000 0.5000 0.0000 (multiplicity 1)  4 Gd 3.09, 8 Cd 3.26

volume	23.138	Å³ per atom
DOS at the Fermi energy	2.6	states/eV/f.u.
calculated total energy	-5.068	eV per atom
relative energy among the computed polymorphs	0	meV per atom

=====

Entry 3:
A plane-wave DFT calculation with PBE was carried out for crystalline Gd2CdGa at its relaxed geometry.

a b c (Å): 3.6846 3.6846 28.0654
angles (deg): 90.00 90.00 120.00
With the nearest neighbours (Å) after each atom.
Space group R-3m (No. 166, hexagonal axes)
Asymmetric unit:
1 Gd 0.0000 0.0000 0.2434 (multiplicity 6)  3 Ga 3.03, 3 Cd 3.30
2 Cd 0.0000 0.0000 0.0000 (multiplicity 3)  6 Gd 3.30, 6 Cd 3.68
3 Ga 0.0000 0.0000 0.5000 (multiplicity 3)  6 Gd 3.03

volume	27.498	Å³ per atom
DOS at the Fermi energy	3.5	states/eV/f.u.
calculated total energy	-8.309	eV per atom

=====

Entry 4:
A plane-wave DFT calculation with PBE was carried out for crystalline GdCdGaHg at its relaxed geometry.

a b c (Å): 7.1480 7.1480 7.1480
angles (deg): 90.00 90.00 90.00
With the nearest neighbours (Å) after each atom.
Space group F-43m (No. 216)
Asymmetric unit:
1 Gd 0.0000 0.0000 0.0000 (multiplicity 4)  4 Hg 3.10, 4 Ga 3.10
2 Cd 0.0000 0.0000 0.5000 (multiplicity 4)  4 Hg 3.10, 4 Ga 3.10
3 Ga 0.2500 0.2500 0.2500 (multiplicity 4)  4 Cd 3.10, 4 Gd 3.10
4 Hg 0.2500 0.2500 0.7500 (multiplicity 4)  4 Cd 3.10, 4 Gd 3.10

volume	22.826	Å³ per atom
DOS at the Fermi energy	1.5	states/eV/f.u.
calculated total energy	-4.952	eV per atom

=====

Look up the volume of the fourth one.
22.826 Å³ per atom

=====

What is the volume in the first record?
25.285 Å³ per atom

=====

Among the records above, which one has the lowest volume?
GdCdGaHg